1.
# NdZnF, relaxed, DFT GGA-PBE
# raw total energy = -4.33 eV per atom
# formation energy without anion corrections = -163.6 kJ per mole of atoms
# crystal system = tetragonal
data_NdZnF
_symmetry_space_group_name_H-M 'P 4/n m m'
_symmetry_Int_Tables_number 129
_cell_length_a 3.408
_cell_length_b 3.408
_cell_length_c 9.258
_cell_angle_alpha 90.00
_cell_angle_beta 90.00
_cell_angle_gamma 90.00
loop_
_symmetry_equiv_pos_as_xyz
'x,y,z'
'-x,-y,-z'
'-y+1/2,x,z'
'y+1/2,-x,-z'
'-x+1/2,-y+1/2,z'
'x+1/2,y+1/2,-z'
'y,-x+1/2,z'
'-y,x+1/2,-z'
'x+1/2,-y,-z'
'-x+1/2,y,z'
'-y,-x,-z'
'y,x,z'
'-x,y+1/2,-z'
'x,-y+1/2,z'
'y+1/2,x+1/2,-z'
'-y+1/2,-x+1/2,z'
loop_
_atom_site_label
_atom_site_type_symbol
_atom_site_fract_x
_atom_site_fract_y
_atom_site_fract_z
Nd1 Nd 0.250 0.250 0.200
Zn1 Zn 0.250 0.250 0.572
F1 F 0.250 0.250 0.930



2.
# BaBeZnAu2, relaxed, DFT GGA-PBE
# calculated formation energy = -0.30 eV/atom
# raw total energy = -2.99 eV per atom
# crystal system = tetragonal
data_BaBeZnAu2
_symmetry_space_group_name_H-M 'P 4/m m m'
_symmetry_Int_Tables_number 123
_symmetry_space_group_name_Hall '-P 4 2'
_cell_length_a 4.865
_cell_length_b 4.865
_cell_length_c 4.658
_cell_angle_alpha 90.00
_cell_angle_beta 90.00
_cell_angle_gamma 90.00
loop_
_atom_site_label
_atom_site_type_symbol
_atom_site_fract_x
_atom_site_fract_y
_atom_site_fract_z
Ba1 Ba 0.000 0.000 0.000
Be1 Be 0.500 0.500 0.500
Zn1 Zn 0.500 0.500 0.000
Au1 Au 0.000 0.500 0.500



3.
# CaZnPH, relaxed, DFT GGA-PBE
# raw total energy = -3.65 eV per atom
# crystal system = trigonal
data_CaZnPH
_symmetry_space_group_name_H-M 'R -3 m'
_symmetry_Int_Tables_number 166
_symmetry_space_group_name_Hall '-R 3 2"'
_cell_length_a 4.0000
_cell_length_b 4.0000
_cell_length_c 29.8117
_cell_angle_alpha 90.00
_cell_angle_beta 90.00
_cell_angle_gamma 120.00
loop_
_atom_site_label
_atom_site_type_symbol
_atom_site_fract_x
_atom_site_fract_y
_atom_site_fract_z
Ca1 Ca 0.0000 0.0000 0.1149
Zn1 Zn 0.0000 0.0000 0.3028
P1 P 0.0000 0.0000 0.3882
H1 H 0.0000 0.0000 0.1925



4.
# BaCd3Ag3, relaxed, DFT GGA-PBE
# calculated formation energy = -0.08 eV/atom
# raw total energy = -1.97 eV per atom
# crystal system = monoclinic
# energy above the most stable polymorph in this dataset = 0.078 eV per atom
data_BaCd3Ag3
_symmetry_space_group_name_H-M 'P 1 21/m 1'
_symmetry_Int_Tables_number 11
_cell_length_a 9.294
_cell_length_b 4.611
_cell_length_c 9.360
_cell_angle_alpha 90.00
_cell_angle_beta 119.54
_cell_angle_gamma 90.00
loop_
_symmetry_equiv_pos_as_xyz
'x,y,z'
'-x,-y,-z'
'-x,y+1/2,-z'
'x,-y+1/2,z'
loop_
_atom_site_label
_atom_site_type_symbol
_atom_site_fract_x
_atom_site_fract_y
_atom_site_fract_z
Ba1 Ba 0.167 0.250 0.331
Cd1 Cd 0.259 0.250 0.971
Cd2 Cd 0.286 0.750 0.758
Cd3 Cd 0.473 0.750 0.216
Ag1 Ag 0.067 0.250 0.612
Ag2 Ag 0.112 0.750 0.045
Ag3 Ag 0.452 0.750 0.564



5.
# AcDy7Er12, relaxed, DFT GGA-PBE
# calculated formation energy = 0.69 eV/atom
# raw total energy = -3.86 eV per atom
# crystal system = cubic
# energy above the most stable polymorph in this dataset = 0.452 eV per atom
data_AcDy7Er12
_symmetry_space_group_name_H-M 'I m -3 m'
_symmetry_Int_Tables_number 229
_symmetry_space_group_name_Hall '-I 4 2 3'
_cell_length_a 11.246
_cell_length_b 11.246
_cell_length_c 11.246
_cell_angle_alpha 90.00
_cell_angle_beta 90.00
_cell_angle_gamma 90.00
loop_
_atom_site_label
_atom_site_type_symbol
_atom_site_fract_x
_atom_site_fract_y
_atom_site_fract_z
Ac1 Ac 0.000 0.000 0.000
Dy1 Dy 0.000 0.000 0.500
Dy2 Dy 0.250 0.250 0.250
Er1 Er 0.000 0.263 0.263



6.
# PmMg2TaN4, relaxed, DFT GGA-PBE
# raw total energy = -7.81 eV per atom
# formation energy without anion corrections = -112.9 kJ per mole of atoms
# crystal system = orthorhombic
data_PmMg2TaN4
_symmetry_space_group_name_H-M 'P m n 21'
_symmetry_Int_Tables_number 31
_cell_length_a 7.296
_cell_length_b 6.063
_cell_length_c 5.400
_cell_angle_alpha 90.00
_cell_angle_beta 90.00
_cell_angle_gamma 90.00
loop_
_symmetry_equiv_pos_as_xyz
'x,y,z'
'-x+1/2,-y,z+1/2'
'-x,y,z'
'x+1/2,-y,z+1/2'
loop_
_atom_site_label
_atom_site_type_symbol
_atom_site_fract_x
_atom_site_fract_y
_atom_site_fract_z
Pm1 Pm 0.000 0.169 0.000
Mg1 Mg 0.249 0.334 0.513
Ta1 Ta 0.000 0.812 0.519
N1 N 0.000 0.135 0.452
N2 N 0.000 0.799 0.880
N3 N 0.222 0.663 0.403



7.
# Nd3B2Rh9Au, relaxed, DFT GGA-PBE
# calculated formation energy = -0.44 eV/atom
# raw total energy = -6.92 eV per atom
# crystal system = trigonal
data_Nd3B2Rh9Au
_symmetry_space_group_name_H-M 'P -3 m 1'
_symmetry_Int_Tables_number 164
_symmetry_space_group_name_Hall '-P 3 2"'
_cell_length_a 5.8492
_cell_length_b 5.8492
_cell_length_c 8.9159
_cell_angle_alpha 90.00
_cell_angle_beta 90.00
_cell_angle_gamma 120.00
loop_
_atom_site_label
_atom_site_type_symbol
_atom_site_fract_x
_atom_site_fract_y
_atom_site_fract_z
Nd1 Nd 0.0000 0.0000 0.0000
Nd2 Nd 0.3333 0.6667 0.6448
B1 B 0.3333 0.6667 0.1442
Rh1 Rh 0.0000 0.5000 0.0000
Rh2 Rh 0.1636 0.3271 0.2679
Au1 Au 0.0000 0.0000 0.5000



8.
# BaSmAg2, relaxed, DFT GGA-PBE
# calculated formation energy = -0.24 eV/atom
# raw total energy = -3.32 eV per atom
# crystal system = tetragonal
data_BaSmAg2
_symmetry_space_group_name_H-M 'P 4/m m m'
_symmetry_Int_Tables_number 123
_symmetry_space_group_name_Hall '-P 4 2'
_cell_length_a 3.888
_cell_length_b 3.888
_cell_length_c 7.880
_cell_angle_alpha 90.00
_cell_angle_beta 90.00
_cell_angle_gamma 90.00
loop_
_atom_site_label
_atom_site_type_symbol
_atom_site_fract_x
_atom_site_fract_y
_atom_site_fract_z
Ba1 Ba 0.000 0.000 0.000
Sm1 Sm 0.000 0.000 0.500
Ag1 Ag 0.500 0.500 0.301



9.
# Zn2IrPb, relaxed, DFT GGA-PBE
# calculated formation energy = 0.13 eV/atom
# raw total energy = -3.65 eV per atom
# crystal system = monoclinic
data_Zn2IrPb
_symmetry_space_group_name_H-M 'P 1 m 1'
_symmetry_Int_Tables_number 6
_cell_length_a 3.283
_cell_length_b 4.245
_cell_length_c 5.547
_cell_angle_alpha 90.00
_cell_angle_beta 106.94
_cell_angle_gamma 90.00
loop_
_symmetry_equiv_pos_as_xyz
'x,y,z'
'x,-y,z'
loop_
_atom_site_label
_atom_site_type_symbol
_atom_site_fract_x
_atom_site_fract_y
_atom_site_fract_z
Zn1 Zn 0.000 0.000 0.000
Zn2 Zn 0.435 0.500 0.866
Ir1 Ir 0.135 0.500 0.267
Pb1 Pb 0.741 0.000 0.486



10.
# Er2ZnIr, relaxed, DFT GGA-PBE
# calculated formation energy = -0.21 eV/atom
# raw total energy = -5.02 eV per atom
# crystal system = trigonal
# energy above the most stable polymorph in this dataset = 0.476 eV per atom
data_Er2ZnIr
_symmetry_space_group_name_H-M 'R -3 m'
_symmetry_Int_Tables_number 166
_symmetry_space_group_name_Hall '-R 3 2"'
_cell_length_a 4.0011
_cell_length_b 4.0011
_cell_length_c 27.5300
_cell_angle_alpha 90.00
_cell_angle_beta 90.00
_cell_angle_gamma 120.00
loop_
_atom_site_label
_atom_site_type_symbol
_atom_site_fract_x
_atom_site_fract_y
_atom_site_fract_z
Er1 Er 0.0000 0.0000 0.1145
Zn1 Zn 0.0000 0.0000 0.0000
Ir1 Ir 0.0000 0.0000 0.5000



11.
# CdReO6, relaxed, DFT GGA-PBE
# raw total energy = -6.05 eV per atom
# formation energy without anion corrections = -63.9 kJ per mole of atoms
# crystal system = cubic
data_CdReO6
_symmetry_space_group_name_H-M 'F m -3 m'
_symmetry_Int_Tables_number 225
_symmetry_space_group_name_Hall '-F 4 2 3'
_cell_length_a 8.338
_cell_length_b 8.338
_cell_length_c 8.338
_cell_angle_alpha 90.00
_cell_angle_beta 90.00
_cell_angle_gamma 90.00
loop_
_atom_site_label
_atom_site_type_symbol
_atom_site_fract_x
_atom_site_fract_y
_atom_site_fract_z
Cd1 Cd 0.000 0.000 0.000
Re1 Re 0.000 0.000 0.500
O1 O 0.000 0.000 0.276



12.
# BeCr3W, relaxed, DFT GGA-PBE
# calculated formation energy = 0.80 eV/atom
# raw total energy = -8.31 eV per atom
# crystal system = cubic
# energy above the most stable polymorph in this dataset = 0.000 eV per atom
data_BeCr3W
_symmetry_space_group_name_H-M 'P m -3 m'
_symmetry_Int_Tables_number 221
_symmetry_space_group_name_Hall '-P 4 2 3'
_cell_length_a 3.955
_cell_length_b 3.955
_cell_length_c 3.955
_cell_angle_alpha 90.00
_cell_angle_beta 90.00
_cell_angle_gamma 90.00
loop_
_atom_site_label
_atom_site_type_symbol
_atom_site_fract_x
_atom_site_fract_y
_atom_site_fract_z
Be1 Be 0.000 0.000 0.000
Cr1 Cr 0.000 0.000 0.500
W1 W 0.500 0.500 0.500